Sc2MnBr: relaxed, PBE-GGA.

The structure in POSCAR format:
```
Sc2MnBr
1.0
4.991 0.000 0.000
0.000 4.991 0.000
0.000 0.000 3.182
Sc Mn Br
2 1 1
direct
0.000 0.500 0.000
0.500 0.000 0.000
0.000 0.000 0.500
0.500 0.500 0.500
```

Output
The raw formation energy is -117 meV/atom. Its space-group type is P4/mmm (123).